# B2Te2Os GGA-PBE relaxed
data_B2Te2Os
_chemical_formula_sum 'B4 Te4 Os2'
_space_group_name_H-M_alt 'I 4/m m m'
_space_group_IT_number 139
_space_group_name_Hall '-I 4 2'
_cell_length_a 3.085
_cell_length_b 3.085
_cell_length_c 16.323
_cell_angle_alpha 90.00
_cell_angle_beta 90.00
_cell_angle_gamma 90.00
loop_
_atom_site_label
_atom_site_type_symbol
_atom_site_fract_x
_atom_site_fract_y
_atom_site_fract_z
B1 B 0.000 0.500 0.250
Te1 Te 0.000 0.000 0.111
Os1 Os 0.000 0.000 0.500
# * volume: 15.53 A^3/atom
# * offset from the most stable computed form: 247 meV per atom

---

# TmBOs GGA-PBE relaxed
data_TmBOs
_chemical_formula_sum 'Tm4 B4 Os4'
_space_group_name_H-M_alt 'F -4 3 m'
_space_group_IT_number 216
_space_group_name_Hall 'F -4 2 3'
_cell_length_a 5.720
_cell_length_b 5.720
_cell_length_c 5.720
_cell_angle_alpha 90.00
_cell_angle_beta 90.00
_cell_angle_gamma 90.00
loop_
_atom_site_label
_atom_site_type_symbol
_atom_site_fract_x
_atom_site_fract_y
_atom_site_fract_z
Tm1 Tm 0.000 0.000 0.000
B1 B 0.250 0.250 0.750
Os1 Os 0.000 0.000 0.500
# * volume: 15.60 A^3/atom
# * offset from the most stable computed form: 0 meV per atom

---

# TmB6Os GGA-PBE relaxed
data_TmB6Os
_chemical_formula_sum 'Tm1 B6 Os1'
_space_group_name_H-M_alt 'P -1'
_space_group_IT_number 2
_cell_length_a 4.379
_cell_length_b 4.386
_cell_length_c 4.390
_cell_angle_alpha 74.20
_cell_angle_beta 74.30
_cell_angle_gamma 74.39
loop_
_space_group_symop_operation_xyz
'x,y,z'
'-x,-y,-z'
loop_
_atom_site_label
_atom_site_type_symbol
_atom_site_fract_x
_atom_site_fract_y
_atom_site_fract_z
Tm1 Tm 0.000 0.000 0.000
B1 B 0.056 0.373 0.375
B2 B 0.373 0.055 0.374
B3 B 0.374 0.372 0.057
Os1 Os 0.500 0.500 0.500
# * volume: 9.54 A^3/atom
# * VASP energy: -7.052 eV per atom